LiHo2Mg: optimized geometry, PBE-GGA.

Cell lengths 3.3500, 3.3500, 11.9909 Å; angles 81.97, 81.97, 60.00 degrees
With the nearest neighbours (Å) after each atom.
Atoms (fractional coordinates):
Ho 0.9090 0.9090 0.2730  1 Li 3.23, 3 Mg 3.31, 6 Ho 3.35
Ho 0.0910 0.0910 0.7270  1 Li 3.23, 3 Mg 3.31, 6 Ho 3.35
Mg 0.5000 0.5000 0.5000  6 Ho 3.31, 6 Mg 3.35
Li 0.0000 0.0000 0.0000  2 Ho 3.23, 6 Li 3.35

Values from the calculation:
DFT total energy = -2.9698 eV per atom
M_tot = 0.000 Bohr magnetons per cell
Energy of formation from the pure elements = 0.196 eV per atom